No. 1
VASP calculation (PBE) on Dy3Si6Pd2Pt after structural relaxation.

## Properties
As for the crystal system: trigonal. As for the space group: P-3m1 (164). The formation energy from raw total energies comes out at -534 meV per atom. As for the mass density: 8.0 g cm⁻³. The calculation puts the spin magnetization at 0.000 μB per formula unit. Its volume is 18.437 Å³ per atom.

Cell: 5.5072 5.5072 8.4233 Å, 90.00 90.00 120.00°
Element x y z (fractional)
Dy 0.3333 0.6667 0.5922
Dy 0.6667 0.3333 0.4078
Dy 0.0000 0.0000 0.0000
Si 0.6349 0.8175 0.2788
Si 0.1825 0.3651 0.2788
Si 0.1825 0.8175 0.2788
Si 0.8175 0.6349 0.7212
Si 0.3651 0.1825 0.7212
Si 0.8175 0.1825 0.7212
Pd 0.6667 0.3333 0.9654
Pd 0.3333 0.6667 0.0346
Pt 0.0000 0.0000 0.5000



No. 2
VASP calculation (PBE) on Dy2Si3PdPt4 after structural relaxation.

## Properties
As for the crystal system: tetragonal. As for the space group: P-4m2 (115). The formation energy from raw total energies comes out at -982 meV per atom. As for the mass density: 12.1 g cm⁻³. The calculation puts the spin magnetization at 0.000 μB per formula unit. Its volume is 17.727 Å³ per atom.

Cell: 3.9904 3.9904 11.1325 Å, 90.00 90.00 90.00°
Element x y z (fractional)
Dy 0.5000 0.0000 0.2530
Dy 0.0000 0.5000 0.7470
Si 0.0000 0.0000 0.5000
Si 0.5000 0.0000 0.8693
Si 0.0000 0.5000 0.1307
Pd 0.5000 0.5000 0.5000
Pt 0.5000 0.5000 0.0000
Pt 0.0000 0.0000 0.0000
Pt 0.5000 0.0000 0.6616
Pt 0.0000 0.5000 0.3384



No. 3
VASP calculation (PBE) on SmDyPdPt after structural relaxation.

## Properties
As for the crystal system: orthorhombic. As for the space group: Amm2 (38). As for the mass density: 11.1 g cm⁻³. The calculation puts the spin magnetization at 0.000 μB per formula unit. The calculation puts the formation enthalpy at 0 K at -1.067 eV/atom. Its volume is 22.983 Å³ per atom.

Cell: 3.8124 4.5179 5.6677 Å, 90.00 109.65 90.00°
Element x y z (fractional)
Sm 0.1382 0.0000 0.2763
Dy 0.8635 0.5000 0.7269
Pd 0.5862 0.5000 0.1723
Pt 0.4122 0.0000 0.8244



No. 4
VASP calculation (PBE) on SmDyPdPt after structural relaxation.

## Properties
As for the crystal system: cubic. As for the space group: F-43m (216). As for the mass density: 11.5 g cm⁻³. The calculation puts the spin magnetization at 0.000 μB per formula unit. The calculation puts the formation enthalpy at 0 K at -1.005 eV/atom. Its volume is 22.128 Å³ per atom.

Cell: 5.0023 5.0023 5.0023 Å, 60.00 60.00 60.00°
Element x y z (fractional)
Pd 0.2500 0.2500 0.2500
Sm 0.5000 0.5000 0.5000
Pt 0.7500 0.7500 0.7500
Dy 0.0000 0.0000 0.0000



No. 5
VASP calculation (PBE) on DyThPdPt after structural relaxation.

## Properties
As for the crystal system: cubic. As for the space group: F-43m (216). As for the mass density: 12.7 g cm⁻³. The calculation puts the spin magnetization at 0.000 μB per formula unit. The calculation puts the formation enthalpy at 0 K at -0.945 eV/atom. Its volume is 22.828 Å³ per atom.

Cell: 5.0545 5.0545 5.0545 Å, 60.00 60.00 60.00°
Element x y z (fractional)
Pd 0.2500 0.2500 0.2500
Pt 0.7500 0.7500 0.7500
Th 0.5000 0.5000 0.5000
Dy 0.0000 0.0000 0.0000



No. 6
VASP calculation (PBE) on DyThPdPt after structural relaxation.

## Properties
As for the crystal system: orthorhombic. As for the space group: Amm2 (38). As for the mass density: 12.3 g cm⁻³. The calculation puts the spin magnetization at 0.000 μB per formula unit. The calculation puts the formation enthalpy at 0 K at -1.077 eV/atom. Its volume is 23.551 Å³ per atom.

Cell: 3.8148 4.4924 5.8183 Å, 90.00 109.14 90.00°
Element x y z (fractional)
Dy 0.1386 0.0000 0.2771
Th 0.8640 0.5000 0.7280
Pd 0.5905 0.5000 0.1810
Pt 0.4069 0.0000 0.8139



No. 7
VASP calculation (PBE) on DyYPdPt after structural relaxation.

## Properties
As for the crystal system: cubic. As for the space group: F-43m (216). As for the mass density: 10.7 g cm⁻³. The calculation puts the spin magnetization at 0.000 μB per formula unit. The calculation puts the formation enthalpy at 0 K at -1.059 eV/atom. Its volume is 21.539 Å³ per atom.

Cell: 4.9575 4.9575 4.9575 Å, 60.00 60.00 60.00°
Element x y z (fractional)
Y 0.0000 0.0000 0.0000
Pd 0.2500 0.2500 0.2500
Pt 0.7500 0.7500 0.7500
Dy 0.5000 0.5000 0.5000



No. 8
VASP calculation (PBE) on DyYPdPt after structural relaxation.

## Properties
As for the crystal system: orthorhombic. As for the space group: Amm2 (38). As for the mass density: 10.2 g cm⁻³. The calculation puts the spin magnetization at 0.000 μB per formula unit. The calculation puts the formation enthalpy at 0 K at -1.099 eV/atom. Its volume is 22.437 Å³ per atom.

Cell: 3.7852 4.5000 5.5986 Å, 90.00 109.76 90.00°
Element x y z (fractional)
Dy 0.1375 0.0000 0.2751
Y 0.8619 0.5000 0.7238
Pd 0.5867 0.5000 0.1734
Pt 0.4139 0.0000 0.8278



No. 9
VASP calculation (PBE) on DyZrPdPt after structural relaxation.

## Properties
As for the crystal system: cubic. As for the space group: F-43m (216). As for the mass density: 11.5 g cm⁻³. The calculation puts the spin magnetization at 0.000 μB per formula unit. The calculation puts the formation enthalpy at 0 K at -0.879 eV/atom. Its volume is 20.028 Å³ per atom.

Cell: 4.8388 4.8388 4.8388 Å, 60.00 60.00 60.00°
Element x y z (fractional)
Zr 0.5000 0.5000 0.5000
Pd 0.2500 0.2500 0.2500
Pt 0.7500 0.7500 0.7500
Dy 0.0000 0.0000 0.0000



No. 10
VASP calculation (PBE) on DyPuPd6 after structural relaxation.

## Properties
As for the crystal system: tetragonal. As for the space group: P4/mmm (123). As for the mass density: 12.3 g cm⁻³. The calculation puts the spin magnetization at 4.122 μB per formula unit. The calculation puts the formation enthalpy at 0 K at -0.725 eV/atom. Its volume is 17.624 Å³ per atom.

Cell: 4.1298 4.1298 8.2667 Å, 90.00 90.00 90.00°
Element x y z (fractional)
Dy 0.0000 0.0000 0.5000
Pu 0.0000 0.0000 0.0000
Pd 0.5000 0.5000 0.0000
Pd 0.5000 0.5000 0.5000
Pd 0.5000 0.0000 0.2483
Pd 0.5000 0.0000 0.7517
Pd 0.0000 0.5000 0.2483
Pd 0.0000 0.5000 0.7517



No. 11
VASP calculation (PBE) on Dy3PuPd12 after structural relaxation.

## Properties
As for the crystal system: tetragonal. As for the space group: P4/mmm (123). As for the mass density: 11.9 g cm⁻³. The calculation puts the spin magnetization at 4.196 μB per formula unit. The calculation puts the formation enthalpy at 0 K at -0.803 eV/atom. Its volume is 17.576 Å³ per atom.

Cell: 4.1249 4.1249 16.5277 Å, 90.00 90.00 90.00°
Element x y z (fractional)
Dy 0.0000 0.0000 0.2515
Dy 0.0000 0.0000 0.5000
Dy 0.0000 0.0000 0.7485
Pu 0.0000 0.0000 0.0000
Pd 0.5000 0.5000 0.0000
Pd 0.5000 0.5000 0.2502
Pd 0.5000 0.5000 0.5000
Pd 0.5000 0.5000 0.7498
Pd 0.5000 0.0000 0.1241
Pd 0.5000 0.0000 0.3750
Pd 0.5000 0.0000 0.6250
Pd 0.5000 0.0000 0.8759
Pd 0.0000 0.5000 0.1241
Pd 0.0000 0.5000 0.3750
Pd 0.0000 0.5000 0.6250
Pd 0.0000 0.5000 0.8759



No. 12
VASP calculation (PBE) on DyPuSnPd after structural relaxation.

## Properties
As for the crystal system: cubic. As for the space group: F-43m (216). As for the mass density: 10.6 g cm⁻³. The calculation puts the spin magnetization at 5.441 μB per formula unit. The calculation puts the formation enthalpy at 0 K at -0.488 eV/atom. Its volume is 24.701 Å³ per atom.

Cell: 5.1892 5.1892 5.1892 Å, 60.00 60.00 60.00°
Element x y z (fractional)
Dy 0.0000 0.0000 0.0000
Sn 0.7500 0.7500 0.7500
Pd 0.2500 0.2500 0.2500
Pu 0.5000 0.5000 0.5000



Result set for density of states at the Fermi level: 3.36 7.18 2.57 3.86 3.50 3.37 3.75 3.12 2.44 17.33 22.18 10.97 states/eV/cell, one per record in the order listed.